(1)
Compound: BeTeCl2
Source: Alexandria
Functional: PBE
Structure: relaxed

Computed properties:
Energy above the most stable polymorph in this dataset: 1.2537 eV/atom
Raw formation energy: 512 meV/atom
Total moment: 0.0 Bohr magnetons per cell

Unit cell a=6.8639 b=6.8639 c=6.8639 alpha=90.00 beta=90.00 gamma=90.00
Space group F-43m (No. 216)
Inequivalent atoms, fractional coordinates:
Be (0.0000, 0.0000, 0.0000)
Te (0.2500, 0.2500, 0.2500)
Cl (0.0000, 0.0000, 0.5000)
Cl (0.2500, 0.2500, 0.7500)

***

(2)
Compound: BeTeCl2
Source: Alexandria
Functional: PBE
Structure: relaxed

Computed properties:
Energy above the most stable polymorph in this dataset: 0.1219 eV/atom
Raw formation energy: -620 meV/atom
Total moment: 0.0 Bohr magnetons per cell

Unit cell a=2.9470 b=8.7132 c=11.9502 alpha=90.00 beta=90.00 gamma=90.00
Space group Immm (No. 71)
Inequivalent atoms, fractional coordinates:
Be (0.0000, 0.0000, 0.0000)
Te (0.0000, 0.0000, 0.5000)
Cl (0.0000, 0.5000, 0.3774)

***

Question: Which value of total moment does entry 2 give?
Answer: 0.0 Bohr magnetons per cell

***

Question: The highest energy above the most stable polymorph in this dataset belongs to which entry?
Answer: number 1